19
Lattice="-6.862 0.673 -5.250 -6.263 -2.649 5.372 -3.110 7.668 2.574" Properties=species:S:1:pos:R:3 comment="Pr2Dy2Er15 | Alexandria via LeMat-Bulk | PBE | relaxed" spacegroup="R-3m, No. 166" total_magnetization_mub_per_atom=0.000 crystal_system=trigonal e_tot_ev_per_cell=-81.6 formation_enthalpy_0k_ev_per_atom=0.29 pbc="T T T"
Er -6.679 -0.340 -2.012
Er -6.981 3.278 4.222
Er -3.131 -1.325 2.686
Er -7.269 4.871 -0.869
Dy -10.856 3.806 1.803
Dy -5.378 1.886 0.893
Er -7.454 5.766 2.224
Pr -1.927 0.676 0.320
Er -4.071 4.523 3.427
Er -3.431 0.337 -2.625
Er -5.718 2.806 -2.865
Er -4.253 5.536 0.189
Er -8.965 0.821 3.565
Pr -14.307 5.016 2.376
Er -8.780 -0.074 0.472
Er -5.301 0.496 4.519
Er -1.555 3.834 1.287
Er -6.445 -1.637 2.134
Er -9.252 2.414 -1.526